Density functional theory data (SCAN) for a PBEsol-optimized structure of Y10Mn13C18.

Results
* crystal system: cubic
* space-group type: I-43m (217)
* energy relative to the elements: -0.394 eV per atom
* uncorrected energy: -17.41 eV/atom

a b c (Å): 8.629 8.629 8.629
angles (deg): 109.47 109.47 109.47
Each line ends with the local moment (μB).
Fractional coordinates of all 41 atoms:
Mn  0.332  0.332  0.152  0.06
Y  0.250  0.750  0.500  0.00
Y  0.589  0.589  0.589  0.00
Y  0.500  0.250  0.750  0.00
Mn  0.332  0.152  0.332  0.06
C  0.705  0.219  0.000  0.00
Y  0.500  0.750  0.250  0.00
Y  0.000  0.000  0.411  0.00
Mn  0.820  0.668  0.000  0.06
Mn  0.820  0.000  0.668  0.06
Mn  0.848  0.180  0.180  0.06
Mn  0.000  0.820  0.668  0.06
C  0.000  0.570  0.570  0.00
Y  0.750  0.250  0.500  0.00
C  0.295  0.295  0.514  0.00
C  0.781  0.781  0.486  0.00
C  0.781  0.486  0.781  0.00
Y  0.750  0.500  0.250  0.00
Y  0.250  0.500  0.750  0.00
C  0.295  0.514  0.295  0.00
C  0.000  0.430  0.430  0.00
Mn  0.180  0.180  0.848  0.06
C  0.570  0.570  0.000  0.00
C  0.000  0.705  0.219  0.00
Mn  0.180  0.848  0.180  0.06
C  0.705  0.000  0.219  0.00
C  0.430  0.430  0.000  0.00
Y  0.000  0.411  0.000  0.00
C  0.219  0.000  0.705  0.00
Y  0.411  0.000  0.000  0.00
C  0.219  0.705  0.000  0.00
C  0.430  0.000  0.430  0.00
Mn  0.000  0.000  0.000  3.97
Mn  0.668  0.820  0.000  0.06
C  0.486  0.781  0.781  0.00
Mn  0.000  0.668  0.820  0.06
C  0.000  0.219  0.705  0.00
Mn  0.152  0.332  0.332  0.06
C  0.514  0.295  0.295  0.00
C  0.570  0.000  0.570  0.00
Mn  0.668  0.000  0.820  0.06